Density functional theory data (PBE) for RbErNiBr6 after structural relaxation. Values from VASP.

The structure in Quantum ESPRESSO input format:
```
&SYSTEM
  ibrav = 0, nat = 9, ntyp = 4
/
ATOMIC_SPECIES
Rb 85.47 Rb.upf
Er 167.26 Er.upf
Ni 58.69 Ni.upf
Br 79.90 Br.upf
ATOMIC_POSITIONS angstrom
Rb 0.0000 0.0000 0.0000
Er 0.0000 4.0294 3.8837
Ni 3.4896 2.0147 3.8837
Br 2.5901 0.1295 5.4165
Br 1.4072 2.1784 2.3509
Br 4.3891 0.1295 2.3509
Br 2.3067 3.7363 5.4165
Br 5.5720 2.1784 5.4165
Br 4.6725 3.7363 2.3509
CELL_PARAMETERS angstrom
6.9792 0.0000 0.0000
-3.4896 6.0442 0.0000
0.0000 0.0000 7.7674
```

Properties
Formation energy (no corrections) = -1.319 eV per atom



Density functional theory data (PBE) for Er2Br2O after structural relaxation. Values from VASP.

The structure in Quantum ESPRESSO input format:
```
&SYSTEM
  ibrav = 0, nat = 5, ntyp = 3
/
ATOMIC_SPECIES
Er 167.26 Er.upf
Br 79.90 Br.upf
O 16.00 O.upf
ATOMIC_POSITIONS angstrom
Er 0.0000 0.0000 2.0321
Er 0.0000 0.0000 11.5509
Br 0.0000 0.0000 4.6235
Br 0.0000 0.0000 8.9596
O 0.0000 0.0000 0.0000
CELL_PARAMETERS angstrom
4.0921 0.0000 0.0000
0.0000 4.0921 0.0000
0.0000 0.0000 13.5831
```

Properties
Formation energy (no corrections) = -1.190 eV per atom



Density functional theory data (PBE) for Er2Br3O after structural relaxation. Values from VASP.

The structure in Quantum ESPRESSO input format:
```
&SYSTEM
  ibrav = 0, nat = 12, ntyp = 3
/
ATOMIC_SPECIES
Er 167.26 Er.upf
Br 79.90 Br.upf
O 16.00 O.upf
ATOMIC_POSITIONS angstrom
Er -1.8837 0.0000 4.2657
Er 5.3707 0.0000 2.0647
Er 6.5184 0.0000 7.2071
Er 13.7728 0.0000 5.0061
Br 3.1697 0.0000 0.0864
Br 2.8169 0.0000 3.5420
Br 3.6259 0.0000 7.0306
Br 8.2632 0.0000 2.2412
Br 9.0721 0.0000 5.7298
Br 8.7194 0.0000 9.1854
O -3.0319 0.0000 6.1851
O 14.9210 0.0000 3.0867
CELL_PARAMETERS angstrom
9.3587 -1.9507 0.0000
9.3587 1.9507 0.0000
-6.8284 0.0000 9.2718
```

Properties
Formation energy (no corrections) = -2.286 eV per atom



Density functional theory data (PBE) for ErPb2BrO4 after structural relaxation. Values from VASP.

The structure in Quantum ESPRESSO input format:
```
&SYSTEM
  ibrav = 0, nat = 8, ntyp = 4
/
ATOMIC_SPECIES
Er 167.26 Er.upf
Pb 207.20 Pb.upf
Br 79.90 Br.upf
O 16.00 O.upf
ATOMIC_POSITIONS angstrom
Er 0.0000 0.0000 0.0000
Pb 1.9866 1.9866 2.4078
Pb 1.9866 1.9866 6.7638
Br 0.0000 0.0000 4.5858
O 0.0000 1.9866 1.2912
O 0.0000 1.9866 7.8804
O 1.9866 0.0000 1.2912
O 1.9866 0.0000 7.8804
CELL_PARAMETERS angstrom
3.9731 0.0000 0.0000
0.0000 3.9731 0.0000
0.0000 0.0000 9.1715
```

Properties
Formation energy (no corrections) = -1.683 eV per atom



Density functional theory data (PBE) for ErPuBrO4 after structural relaxation. Values from VASP.

The structure in Quantum ESPRESSO input format:
```
&SYSTEM
  ibrav = 0, nat = 14, ntyp = 4
/
ATOMIC_SPECIES
Er 167.26 Er.upf
Pu 244.00 Pu.upf
Br 79.90 Br.upf
O 16.00 O.upf
ATOMIC_POSITIONS angstrom
Er 2.7843 0.0000 2.2418
Er 9.7551 0.0000 3.9682
Pu 0.4220 0.0000 4.4256
Pu 12.1174 0.0000 1.7844
Br 5.6649 0.0000 1.3541
Br 6.8745 0.0000 4.8559
O 2.0042 1.2561 4.1032
O 0.3489 0.0000 2.4823
O 2.0988 0.0000 0.0916
O 2.0042 -1.2561 4.1032
O 10.5352 1.2561 2.1068
O 10.4406 0.0000 6.1184
O 12.1904 0.0000 3.7277
O 10.5352 -1.2561 2.1068
CELL_PARAMETERS angstrom
7.0763 -3.3073 0.0000
7.0763 3.3073 0.0000
-1.6133 0.0000 6.2100
```

Properties
Formation energy (no corrections) = -2.490 eV per atom



Let's list total magnetization in order: 0.2271; 0.0000; 0.0000; 0.0000; 0.2841 μB per atom.